Run P
# Ca2LaPt2 PBE optimized geometry
data_Ca2LaPt2
_space_group_name_H-M_alt 'I 4/m m m'
_space_group_IT_number 139
_space_group_name_Hall '-I 4 2'
_cell_length_a 4.426
_cell_length_b 4.426
_cell_length_c 13.220
_cell_angle_alpha 90.00
_cell_angle_beta 90.00
_cell_angle_gamma 90.00
loop_
_atom_site_label
_atom_site_type_symbol
_atom_site_fract_x
_atom_site_fract_y
_atom_site_fract_z
Ca1 Ca 0.000 0.500 0.250
La1 La 0.000 0.000 0.000
Pt1 Pt 0.000 0.000 0.398
# - D(E_F): 6.8 states/eV per cell

---

Run Q
# Ca2LaPt2 PBE optimized geometry
data_Ca2LaPt2
_space_group_name_H-M_alt 'P 4/m b m'
_space_group_IT_number 127
_space_group_name_Hall '-P 4 2ab'
_cell_length_a 7.622
_cell_length_b 7.622
_cell_length_c 4.451
_cell_angle_alpha 90.00
_cell_angle_beta 90.00
_cell_angle_gamma 90.00
loop_
_atom_site_label
_atom_site_type_symbol
_atom_site_fract_x
_atom_site_fract_y
_atom_site_fract_z
Ca1 Ca 0.161 0.339 0.000
La1 La 0.000 0.000 0.500
Pt1 Pt 0.131 0.631 0.500
# - D(E_F): 9.8 states/eV per cell

---

Stability check: which of them is most stable? run Q.

---

Run P
# CaLa2Pu PBE optimized geometry
data_CaLa2Pu
_space_group_name_H-M_alt 'P 4/m m m'
_space_group_IT_number 123
_space_group_name_Hall '-P 4 2'
_cell_length_a 3.647
_cell_length_b 3.647
_cell_length_c 10.573
_cell_angle_alpha 90.00
_cell_angle_beta 90.00
_cell_angle_gamma 90.00
loop_
_atom_site_label
_atom_site_type_symbol
_atom_site_fract_x
_atom_site_fract_y
_atom_site_fract_z
Ca1 Ca 0.000 0.000 0.000
La1 La 0.500 0.500 0.278
Pu1 Pu 0.000 0.000 0.500
# - D(E_F): 9.2 states/eV per cell

---

Run Q
# CaLa2Pu PBE optimized geometry
data_CaLa2Pu
_space_group_name_H-M_alt 'R -3 m'
_space_group_IT_number 166
_space_group_name_Hall '-R 3 2"'
_cell_length_a 3.6665
_cell_length_b 3.6665
_cell_length_c 36.4183
_cell_angle_alpha 90.00
_cell_angle_beta 90.00
_cell_angle_gamma 120.00
loop_
_atom_site_label
_atom_site_type_symbol
_atom_site_fract_x
_atom_site_fract_y
_atom_site_fract_z
Ca1 Ca 0.0000 0.0000 0.0000
La1 La 0.0000 0.0000 0.2426
Pu1 Pu 0.0000 0.0000 0.5000
# - D(E_F): 32.3 states/eV per cell

---

Stability check: which of them is most stable? run P.

---

Run P
# CaLa2Pu PBE optimized geometry
data_CaLa2Pu
_space_group_name_H-M_alt 'R 3 m'
_space_group_IT_number 160
_space_group_name_Hall 'R 3 -2"'
_cell_length_a 3.5731
_cell_length_b 3.5731
_cell_length_c 35.4853
_cell_angle_alpha 90.00
_cell_angle_beta 90.00
_cell_angle_gamma 120.00
loop_
_atom_site_label
_atom_site_type_symbol
_atom_site_fract_x
_atom_site_fract_y
_atom_site_fract_z
Ca1 Ca 0.0000 0.0000 0.0000
La1 La 0.0000 0.0000 0.5730
La2 La 0.0000 0.0000 0.7605
Pu1 Pu 0.0000 0.0000 0.1666
# - D(E_F): 32.8 states/eV per cell

---

Run Q
# CaLa2Pu PBE optimized geometry
data_CaLa2Pu
_space_group_name_H-M_alt 'P 4/m m m'
_space_group_IT_number 123
_space_group_name_Hall '-P 4 2'
_cell_length_a 6.002
_cell_length_b 6.002
_cell_length_c 3.893
_cell_angle_alpha 90.00
_cell_angle_beta 90.00
_cell_angle_gamma 90.00
loop_
_atom_site_label
_atom_site_type_symbol
_atom_site_fract_x
_atom_site_fract_y
_atom_site_fract_z
Ca1 Ca 0.000 0.000 0.000
La1 La 0.000 0.500 0.500
Pu1 Pu 0.500 0.500 0.000
# - D(E_F): 9.9 states/eV per cell

---

Stability check: which of them is most stable? run Q.